VASP calculation (PBE-GGA) on WSe5 after structural relaxation.

a = 7.488 Å, b = 7.488 Å, c = 3.050 Å
α = 90.00°, β = 90.00°, γ = 120.00°
Positions (direct):
W 0.000 0.000 0.500
Se 0.732 0.000 0.000
Se 0.268 0.268 0.000
Se 0.000 0.732 0.000
Se 0.667 0.333 0.500
Se 0.333 0.667 0.500

DOS at the Fermi energy ... 5.45 states/eV/f.u.
ΔE_f (raw) ... 26 kJ per mole of atoms
Polymorph energy (0 for the lowest one) ... 222 meV/atom